Computed, not measured: an optimized crystal structure of P2RuCl at the PBE-GGA level of DFT.

Cell: 2.9802 5.1961 5.2012 Å, 54.19 90.00 90.00°
Last column: nearest neighbours and their distance in Å.
Fractional coordinates of all 4 atoms:
Cl  0.5000  0.7500  0.7500  2 Ru 2.37
P  0.0000  0.4520  0.4511  2 Ru 2.39, 2 P 2.53-2.54
P  0.0000  0.0480  0.0489  2 Ru 2.39, 2 P 2.53-2.54
Ru  0.5000  0.2500  0.2500  2 Cl 2.37, 4 P 2.39

Summary:
- SG: Cmmm, No. 65
- Total DFT energy (no corrections): -22.221 eV/f.u.
- ΔE_f (raw): -0.07 eV per atom
- Polymorph energy (0 for the lowest one): 136 meV per atom